The following is a DFT calculation (PBE) of an optimized crystal structure of CeHoLuPb.

For the raw total energy, the calculation gives -18.82 eV/f.u. The value obtained for the density of states at the Fermi level is 34.33 states/eV per cell. The formation energy comes out at -7 kJ/mol of formula units.

Cell and atoms, written as CIF:
```
data_CeHoLuPb
_cell_length_a 7.630
_cell_length_b 7.630
_cell_length_c 7.630
_cell_angle_alpha 90.00
_cell_angle_beta 90.00
_cell_angle_gamma 90.00
_symmetry_space_group_name_H-M 'F -4 3 m'
_symmetry_Int_Tables_number 216
_symmetry_space_group_name_Hall 'F -4 2 3'
loop_
_atom_site_label
_atom_site_fract_x
_atom_site_fract_y
_atom_site_fract_z
Ce1 0.000 0.000 0.000
Ho1 0.250 0.250 0.750
Lu1 0.250 0.250 0.250
Pb1 0.000 0.000 0.500
```